Entry 1:
The following is a DFT calculation (PBE) of a relaxed TbHfCoIr crystal.

abc: 4.6955 4.6955 4.6955
angles: 60.00 60.00 60.00
Closest atoms and distances in Å follow each position.
Fractional positions:
Tb 0.0000 0.0000 0.0000  4 Co 2.88, 4 Ir 2.88
Hf 0.5000 0.5000 0.5000  4 Co 2.88, 4 Ir 2.88
Co 0.2500 0.2500 0.2500  4 Hf 2.88, 4 Tb 2.88
Ir 0.7500 0.7500 0.7500  4 Hf 2.88, 4 Tb 2.88

## Properties
ΔE_f = -0.52 eV/atom
E_tot = -8.1540 eV/atom
symmetry = F-43m, No. 216


Entry 2:
The following is a DFT calculation (PBE) of a relaxed BeAs3I crystal.

abc: 5.3465 5.3465 5.3465
angles: 90.00 90.00 90.00
Closest atoms and distances in Å follow each position.
Fractional positions:
Be 0.0000 0.0000 0.0000  12 As 3.78
As 0.0000 0.5000 0.5000  2 I 2.67
As 0.5000 0.0000 0.5000  2 I 2.67
As 0.5000 0.5000 0.0000  2 I 2.67
I 0.5000 0.5000 0.5000  6 As 2.67

## Properties
E_tot = -2.0713 eV/atom
symmetry = Pm-3m, No. 221
polymorph energy (0 for the lowest one) = 556.7 kJ/mol of formula units


Entry 3:
The following is a DFT calculation (PBE) of a relaxed La15Tb4Sc crystal.

abc: 5.1910 5.1910 25.9745
angles: 90.00 90.00 90.00
Closest atoms and distances in Å follow each position.
Fractional positions:
La 0.0000 0.0000 0.0000  8 La 3.62, 4 Sc 3.67
La 0.0000 0.0000 0.1984  4 Tb 3.67, 8 La 3.67-3.69
La 0.0000 0.0000 0.3994  4 Tb 3.67, 8 La 3.68-3.69
La 0.0000 0.0000 0.6006  4 Tb 3.67, 8 La 3.68-3.69
La 0.0000 0.0000 0.8016  4 Tb 3.67, 8 La 3.67-3.69
La 0.0000 0.5000 0.0973  2 Sc 3.62, 8 La 3.62-3.69, 2 Tb 3.68
La 0.0000 0.5000 0.2986  8 La 3.67-3.69, 4 Tb 3.69
La 0.0000 0.5000 0.5000  8 La 3.67-3.68, 4 Tb 3.68
La 0.0000 0.5000 0.7014  8 La 3.67-3.69, 4 Tb 3.69
La 0.0000 0.5000 0.9027  2 Sc 3.62, 8 La 3.62-3.69, 2 Tb 3.68
La 0.5000 0.0000 0.0973  2 Sc 3.62, 8 La 3.62-3.69, 2 Tb 3.68
La 0.5000 0.0000 0.2986  8 La 3.67-3.69, 4 Tb 3.69
La 0.5000 0.0000 0.5000  8 La 3.67-3.68, 4 Tb 3.68
La 0.5000 0.0000 0.7014  8 La 3.67-3.69, 4 Tb 3.69
La 0.5000 0.0000 0.9027  2 Sc 3.62, 8 La 3.62-3.69, 2 Tb 3.68
Tb 0.5000 0.5000 0.1978  12 La 3.67-3.69
Tb 0.5000 0.5000 0.3994  12 La 3.67-3.69
Tb 0.5000 0.5000 0.6006  12 La 3.67-3.69
Tb 0.5000 0.5000 0.8022  12 La 3.67-3.69
Sc 0.5000 0.5000 0.0000  12 La 3.62-3.67

## Properties
ΔE_f = 0.01 eV/atom
E_tot = -4.9243 eV/atom
symmetry = P4/mmm, No. 123